# Mn3HF | Alexandria | GGA+U | optimized geometry
data_Mn3HF
_cell_length_a 4.139
_cell_length_b 4.139
_cell_length_c 4.139
_cell_angle_alpha 90.00
_cell_angle_beta 90.00
_cell_angle_gamma 90.00
_symmetry_space_group_name_H-M 'P m -3 m'
_symmetry_Int_Tables_number 221
_symmetry_space_group_name_Hall '-P 4 2 3'
loop_
_atom_site_label
_atom_site_type_symbol
_atom_site_fract_x
_atom_site_fract_y
_atom_site_fract_z
_atom_site_occupancy
Mn1 Mn 0.000 0.000 0.500 1
H1 H 0.000 0.000 0.000 1
F1 F 0.500 0.500 0.500 1
# - Polymorph energy (0 for the lowest one): 0.0 meV/atom
# - Crystal system: cubic
# - Total energy: -5.27 eV/atom